An optimized crystal structure of Ga6CuAg2. Source: Alexandria, functional PBE-GGA.

a = 5.7137 Å, b = 5.7137 Å, c = 17.9362 Å
α = 90.00°, β = 90.00°, γ = 120.00°
Last column: nearest neighbours and their distance in Å.
Space group R3m (No. 160, hexagonal axes)
One atom of each set of equivalent atoms:
Ga  0.1740  0.3479  0.0000  1 Cu 2.48, 2 Ga 2.73
Ga  0.1774  0.3548  0.8055  1 Cu 2.44, 2 Ga 2.67
Cu  0.0000  0.0000  0.9003  6 Ga 2.44-2.48
Ag  0.0000  0.0000  0.5152  1 Ag 2.93, 6 Ga 2.96
Ag  0.0000  0.0000  0.6786  9 Ga 2.87, 1 Ag 2.93

The formation energy comes out at 9.0 kJ/mol of atoms.



An optimized crystal structure of Sc2HgSe. Source: Alexandria, functional PBE-GGA.

a = 4.6268 Å, b = 4.6268 Å, c = 7.8732 Å
α = 90.00°, β = 90.00°, γ = 90.00°
Last column: nearest neighbours and their distance in Å.
Space group I4/mmm (No. 139)
One atom of each set of equivalent atoms:
Sc  0.0000  0.5000  0.2500  4 Hg 3.04, 4 Se 3.04, 4 Sc 3.27
Hg  0.0000  0.0000  0.0000  8 Sc 3.04, 4 Se 3.27
Se  0.0000  0.0000  0.5000  8 Sc 3.04, 4 Hg 3.27

As for the formation energy from raw total energies: -0.627 eV/atom. The calculation puts the excess energy over the best structure of this formula in the dataset at 348.2 meV/atom.



An optimized crystal structure of ZrPb2Br. Source: Alexandria, functional PBE-GGA.

a = 3.5493 Å, b = 4.7831 Å, c = 6.2453 Å
α = 90.00°, β = 90.00°, γ = 90.00°
Last column: nearest neighbours and their distance in Å.
Space group Pmmm (No. 47)
One atom of each set of equivalent atoms:
Zr  0.0000  0.0000  0.0000  2 Br 3.12, 8 Pb 3.34
Pb  0.5000  0.5000  0.2439  2 Pb 3.05-3.20, 4 Zr 3.34, 4 Br 3.38
Br  0.0000  0.0000  0.5000  2 Zr 3.12, 8 Pb 3.38

As for the formation energy from raw total energies: -0.052 eV/atom. The calculation puts the excess energy over the best structure of this formula in the dataset at 290.6 meV/atom.



no.,DFT total energy (eV/cell),N(E_F) (states/eV/atom)
1,-81.3,0.46
2,-37.9,0.84
3,-17.8,0.77